! MnGa2IrPb, relaxed, DFT PBEsol; values from VASP
! Energy   -5.11 eV/atom
! SG   No. 123
! Formation enthalpy at 0 K   0.94 eV per atom
&SYSTEM
  ibrav = 0, nat = 5, ntyp = 4
/
ATOMIC_SPECIES
Mn 54.94 Mn.upf
Ga 69.72 Ga.upf
Ir 192.22 Ir.upf
Pb 207.20 Pb.upf
ATOMIC_POSITIONS crystal
Mn 0.000 0.000 0.000
Ga 0.000 0.500 0.000
Ga 0.500 0.000 0.000
Ir 0.500 0.500 0.500
Pb 0.000 0.000 0.500
CELL_PARAMETERS angstrom
4.499 0.000 0.000
0.000 4.499 0.000
0.000 0.000 4.920